First-principles (PBE) data for a relaxed CsCe2Te3 crystal, as listed in Alexandria.

Cell and atoms, written as extended XYZ:
```
12
Lattice="-0.2441 1.6148 -4.2837 2.5774 -3.6781 0.9198 -19.9441 -15.1161 -4.5620" Properties=species:S:1:pos:R:3 pbc="T T T"
Cs -4.9860 -3.7790 -1.1405
Cs -14.9580 -11.3371 -3.4215
Ce -16.8651 -15.9370 -5.0468
Ce -0.7457 -1.2425 -2.8791
Ce -7.8336 -6.6146 -4.5003
Ce -9.7772 -10.5649 -3.4256
Te 0.0000 0.0000 0.0000
Te -1.1964 -4.0612 -1.4628
Te -5.5019 -7.3245 -2.4476
Te -9.9720 -7.5581 -2.2810
Te -12.1089 -9.8549 -5.4783
Te -16.4144 -13.1183 -6.4631
```

Summary:
The calculation puts the uncorrected formation energy at -129 kJ per mole of atoms. The value obtained for the total energy is -0.185 Ha/atom. Its magnetization is 2.39 μB per formula unit.


First-principles (PBE) data for a relaxed Cs2Ce2Te5 crystal, as listed in Alexandria.

Cell and atoms, written as extended XYZ:
```
18
Lattice="-7.5007 3.9746 -1.8165 0.7380 -2.4007 -8.3006 -5.0230 -6.7240 6.0284" Properties=species:S:1:pos:R:3 pbc="T T T"
Cs -1.9149 -3.2606 0.7728
Cs -5.2963 -2.4737 -4.2857
Cs -2.3700 -5.8641 -3.0450
Cs -6.4894 -2.6765 0.1971
Ce -4.3272 0.6040 -8.1743
Ce -2.4355 0.9699 -1.9427
Ce -0.7103 -0.9491 -5.7646
Ce -6.0523 2.5229 -4.3524
Te 0.0000 0.0000 0.0000
Te -3.3813 0.7869 -5.0585
Te -6.9362 0.1745 -6.5001
Te -1.8037 -1.9673 -2.8190
Te -3.0290 -2.3228 -7.3554
Te -5.7108 0.5300 -1.9637
Te -4.8494 -5.3247 2.4115
Te -9.9819 -3.1828 -1.2696
Te -8.7566 -2.8273 3.2668
Te -6.0748 -5.6802 -2.1249
```

Summary:
The calculation puts the uncorrected formation energy at -117 kJ per mole of atoms. The value obtained for the total energy is -0.164 Ha/atom. Its magnetization is 0.29 μB per formula unit.


First-principles (PBE) data for a relaxed CsCe2Te4 crystal, as listed in Alexandria.

Cell and atoms, written as extended XYZ:
```
14
Lattice="4.6391 0.0000 0.0000 -2.3196 7.6696 0.0000 0.0000 0.0000 15.8670" Properties=species:S:1:pos:R:3 pbc="T T T"
Cs 2.3196 1.5842 11.9003
Cs 0.0000 6.0854 3.9668
Ce 0.0000 2.0704 6.9202
Ce 2.3196 5.5992 14.8537
Ce 0.0000 2.0704 1.0133
Ce 2.3196 5.5992 8.9468
Te 2.3196 4.0221 1.6977
Te 2.3196 4.0221 6.2358
Te 0.0000 3.6475 14.1693
Te 0.0000 3.6475 9.6312
Te 2.3196 6.2524 11.9003
Te 0.0000 1.4172 3.9668
Te 2.3196 0.0000 0.0000
Te 2.3196 0.0000 7.9335
```

Summary:
The calculation puts the uncorrected formation energy at -121 kJ per mole of atoms. The value obtained for the total energy is -0.179 Ha/atom. Its magnetization is 1.02 μB per formula unit.


First-principles (PBE) data for a relaxed Cs5CeTe4 crystal, as listed in Alexandria.

Cell and atoms, written as extended XYZ:
```
10
Lattice="-5.1425 -0.6967 -0.8022 -1.0530 -2.9184 9.2841 1.3092 11.6721 -1.3422" Properties=species:S:1:pos:R:3 pbc="T T T"
Cs -4.0029 5.4136 3.7722
Cs -3.4913 6.8384 -0.7444
Cs -1.3950 1.2187 7.8841
Cs -3.0977 -1.8075 4.2410
Cs -0.8834 2.6435 3.3675
Ce -2.5713 -0.3483 -0.4011
Te -1.7392 5.2204 6.6151
Te -4.6605 8.6789 5.1522
Te -3.1471 2.8367 0.5245
Te -0.2258 -0.6219 1.9875
```

Summary:
The calculation puts the uncorrected formation energy at -99 kJ per mole of atoms. The value obtained for the total energy is -0.121 Ha/atom. Its magnetization is 1.00 μB per formula unit.


First-principles (PBE) data for a relaxed CsCe6Te8 crystal, as listed in Alexandria.

Cell and atoms, written as extended XYZ:
```
15
Lattice="4.6021 0.0000 0.0000 0.0000 12.1192 0.0000 0.0000 -6.0596 10.4956" Properties=species:S:1:pos:R:3 pbc="T T T"
Cs 2.3010 0.0000 0.0000
Ce 3.4499 2.2878 6.8565
Ce 3.4499 -1.0222 9.0486
Ce 3.4499 -1.2656 5.0860
Ce 1.1521 3.7718 3.6390
Ce 1.1521 7.0819 1.4469
Ce 1.1521 7.3252 5.4096
Te 3.4539 2.0721 10.0345
Te 3.4539 -3.6666 7.2728
Te 3.4539 1.5945 3.6838
Te 1.1481 3.9875 0.4610
Te 1.1481 9.7262 3.2227
Te 1.1481 4.4651 6.8118
Te 3.4529 6.0596 3.4985
Te 1.1492 0.0000 6.9970
```

Summary:
The calculation puts the uncorrected formation energy at -125 kJ per mole of atoms. The value obtained for the total energy is -0.198 Ha/atom. Its magnetization is 8.25 μB per formula unit.


First-principles (PBE) data for a relaxed Cs3Ce4Te8 crystal, as listed in Alexandria.

Cell and atoms, written as extended XYZ:
```
15
Lattice="-4.7404 -6.5182 4.9118 -1.7750 0.8081 -9.5315 9.4333 -1.5330 -1.8210" Properties=species:S:1:pos:R:3 pbc="T T T"
Cs -3.2577 -2.8551 -2.3099
Cs 2.3465 -4.0256 1.5454
Cs 1.4589 -3.6216 -3.2204
Ce -2.3702 -3.2591 2.4559
Ce -0.8875 0.4040 -4.7657
Ce 0.0000 0.0000 0.0000
Ce 4.7166 -0.7665 -0.9105
Te -0.6118 -2.9846 -0.0169
Te 0.7894 0.2724 -7.7673
Te -2.8823 -6.4528 2.2307
Te -1.5966 -2.9834 -5.3223
Te 4.5145 -4.2598 -1.1184
Te 5.8002 -0.7903 -8.6714
Te 6.8688 -0.9973 -3.5852
Te 3.5297 -4.2585 -6.4239
```

Summary:
The calculation puts the uncorrected formation energy at -106 kJ per mole of atoms. The value obtained for the total energy is -0.166 Ha/atom. Its magnetization is 2.27 μB per formula unit.


First-principles (PBE) data for a relaxed Cs4CeTe4 crystal, as listed in Alexandria.

Cell and atoms, written as extended XYZ:
```
9
Lattice="9.1325 0.0000 0.0000 0.0000 9.1325 0.0000 -4.5663 -4.5663 7.7340" Properties=species:S:1:pos:R:3 pbc="T T T"
Cs 4.5663 0.0000 0.0000
Cs 0.0000 4.5663 0.0000
Cs 0.0000 0.0000 4.6754
Cs 4.5662 4.5662 3.0586
Ce 0.0000 0.0000 0.0000
Te 2.8509 2.8509 6.0045
Te 1.7153 7.4172 1.7295
Te -2.8509 -2.8509 6.0045
Te 7.4172 1.7153 1.7295
```

Summary:
The calculation puts the uncorrected formation energy at -100 kJ per mole of atoms. The value obtained for the total energy is -0.127 Ha/atom. Its magnetization is 0.00 μB per formula unit.


First-principles (PBE) data for a relaxed CsCeTe2 crystal, as listed in Alexandria.

Cell and atoms, written as extended XYZ:
```
4
Lattice="4.0167 0.0000 0.0000 0.0000 4.0167 0.0000 0.0000 0.0000 9.0680" Properties=species:S:1:pos:R:3 pbc="T T T"
Cs 2.0083 2.0083 4.5340
Te 0.0000 0.0000 7.2682
Te 0.0000 0.0000 1.7999
Ce 2.0083 2.0083 0.0000
```

Summary:
The calculation puts the uncorrected formation energy at -119 kJ per mole of atoms. The value obtained for the total energy is -0.165 Ha/atom. Its magnetization is 0.97 μB per formula unit.